--- P ---
Computed, not measured: a relaxed Li2TlH crystal at the PBE-GGA level of DFT.

Output
- density of states at the Fermi level (states/eV/f.u.) = 1.6
- V (Å³ per cell) = 63.5

Lattice parameters (Å, degrees): 3.214 3.214 7.363 77.16 77.16 59.77
Fractional coordinates of all 4 atoms:
Li1 0.053 0.053 0.840
Li2 0.281 0.281 0.158
Tl1 0.500 0.500 0.500
H1 0.666 0.666 0.002

=====

--- Q ---
Computed, not measured: a relaxed Li2TlH crystal at the PBE-GGA level of DFT.

Output
- density of states at the Fermi level (states/eV/f.u.) = 1.1
- V (Å³ per cell) = 64.7

Lattice parameters (Å, degrees): 2.993 2.993 7.218 90.00 90.00 90.00
Fractional coordinates of all 4 atoms:
H1 0.500 0.500 0.000
Tl1 0.500 0.500 0.500
Li1 0.000 0.000 0.181
Li2 0.000 0.000 0.819

=====

--- R ---
Computed, not measured: a relaxed Li2TlH crystal at the PBE-GGA level of DFT.

Output
- density of states at the Fermi level (states/eV/f.u.) = 0.2
- V (Å³ per cell) = 124.3

Lattice parameters (Å, degrees): 5.625 5.625 5.590 59.79 59.79 90.00
Fractional coordinates of all 8 atoms:
Tl1 0.000 0.000 0.000
Tl2 0.750 0.250 0.500
Li1 0.375 0.575 0.750
Li2 0.875 0.675 0.750
H1 0.250 0.750 0.500
Li3 0.325 0.625 0.250
H2 0.500 0.500 0.000
Li4 0.425 0.125 0.250

=====

Computed relative energies in units of eV/atom: P 0.052; Q 0.185; R 0.000

=====

--- P ---
Computed, not measured: a relaxed LiV2H crystal at the PBE-GGA level of DFT.

Output
- density of states at the Fermi level (states/eV/f.u.) = 4.1
- V (Å³ per cell) = 53.9

Lattice parameters (Å, degrees): 2.962 2.962 7.303 78.30 78.30 60.00
Fractional coordinates of all 4 atoms:
Li1 0.000 0.000 0.000
H1 0.500 0.500 0.500
V1 0.873 0.873 0.382
V2 0.127 0.127 0.618

=====

--- Q ---
Computed, not measured: a relaxed LiV2H crystal at the PBE-GGA level of DFT.

Output
- density of states at the Fermi level (states/eV/f.u.) = 3.1
- V (Å³ per cell) = 106.4

Lattice parameters (Å, degrees): 5.366 5.366 5.296 59.57 59.57 90.00
Fractional coordinates of all 8 atoms:
Li1 0.750 0.250 0.500
V1 0.420 0.625 0.250
V2 0.375 0.670 0.750
H1 0.250 0.750 0.500
V3 0.330 0.125 0.250
V4 0.875 0.580 0.750
H2 0.500 0.500 0.000
Li2 0.000 0.000 0.000

=====

--- R ---
Computed, not measured: a relaxed LiV2H crystal at the PBE-GGA level of DFT.

Output
- density of states at the Fermi level (states/eV/f.u.) = 2.4
- V (Å³ per cell) = 41.6

Lattice parameters (Å, degrees): 3.888 3.888 3.888 60.00 60.00 60.00
Fractional coordinates of all 4 atoms:
V1 0.250 0.250 0.250
H1 0.000 0.000 0.000
V2 0.750 0.750 0.750
Li1 0.500 0.500 0.500

=====

Computed relative energies in units of eV/atom: P 0.000; Q 0.160; R 0.498

=====

--- P ---
Computed, not measured: a relaxed LiVH3 crystal at the PBE-GGA level of DFT.

Output
- density of states at the Fermi level (states/eV/f.u.) = 1.8
- V (Å³ per cell) = 44.4

Lattice parameters (Å, degrees): 3.542 3.542 3.542 90.00 90.00 90.00
Fractional coordinates of all 5 atoms:
Li1 0.500 0.500 0.500
H1 0.500 0.000 0.000
H2 0.000 0.500 0.000
V1 0.000 0.000 0.000
H3 0.000 0.000 0.500

=====

--- Q ---
Computed, not measured: a relaxed LiVH3 crystal at the PBE-GGA level of DFT.

Output
- density of states at the Fermi level (states/eV/f.u.) = 0.6
- V (Å³ per cell) = 32.9

Lattice parameters (Å, degrees): 3.203 3.203 3.203 90.00 90.00 90.00
Fractional coordinates of all 5 atoms:
H1 0.000 0.000 0.500
Li1 0.000 0.000 0.000
V1 0.500 0.500 0.500
H2 0.500 0.000 0.000
H3 0.000 0.500 0.000

=====

Computed relative energies in units of eV/atom: P 0.000; Q 0.216